Entry 1:
This record from the Alexandria database describes a geometry-optimized Tm3Cd2Os structure. The functional is PBE.

- energy of formation from the pure elements (kJ/mol of atoms) = -34
- electronic total energy (eV per atom) = -4.76
- N(E_F) (states/eV/atom) = 0.60

Unit cell a=4.9492 b=14.7847 c=7.5514 alpha=90.00 beta=90.00 gamma=90.00
With the nearest neighbours (Å) after each atom.
Space group Cmmm (No. 65)
Unique sites:
Tm 0.0000 0.0000 0.2280 x4  2 Os 2.95, 6 Cd 3.01-3.22
Tm 0.0000 0.3255 0.2178 x8  3 Os 2.92-2.98, 4 Cd 3.06-3.27
Cd 0.0000 0.1662 0.5000 x4  8 Tm 3.18-3.27, 4 Cd 3.49-3.50
Cd 0.0000 0.5000 0.0000 x2  8 Tm 3.01-3.06
Cd 0.0000 0.5000 0.5000 x2  8 Tm 3.22-3.35, 4 Cd 3.49
Os 0.0000 0.1622 0.0000 x4  8 Tm 2.92-2.98

***

Entry 2:
This record from the Alexandria database describes a geometry-optimized TmZrCdOs structure. The functional is PBE.

- energy of formation from the pure elements (kJ/mol of atoms) = -33
- electronic total energy (eV per atom) = -6.63
- relative energy among the computed polymorphs (meV per atom) = 0
- N(E_F) (states/eV/atom) = 0.60

Unit cell a=3.3338 b=3.3338 c=7.5962 alpha=90.00 beta=90.00 gamma=90.00
With the nearest neighbours (Å) after each atom.
Space group P4mm (No. 99)
Unique sites:
Tm 0.0000 0.0000 0.0000 x1  4 Os 2.97, 4 Cd 3.23, 1 Zr 3.31
Zr 0.0000 0.0000 0.5647 x1  4 Os 2.79
Cd 0.5000 0.5000 0.2913 x1  4 Zr 3.14, 4 Tm 3.23, 4 Cd 3.33
Os 0.5000 0.5000 0.7622 x1  4 Zr 2.79, 4 Tm 2.97

***

Entry 3:
This record from the Alexandria database describes a geometry-optimized TmZrCdOs structure. The functional is PBE.

- energy of formation from the pure elements (kJ/mol of atoms) = -21
- electronic total energy (eV per atom) = -6.51
- relative energy among the computed polymorphs (meV per atom) = 125
- N(E_F) (states/eV/atom) = 0.59

Unit cell a=6.8896 b=6.8896 c=6.8896 alpha=90.00 beta=90.00 gamma=90.00
With the nearest neighbours (Å) after each atom.
Space group F-43m (No. 216)
Unique sites:
Tm 0.0000 0.0000 0.0000 x4  4 Cd 2.98, 4 Os 2.98
Zr 0.0000 0.0000 0.5000 x4  4 Cd 2.98, 4 Os 2.98
Cd 0.2500 0.2500 0.7500 x4  4 Zr 2.98, 4 Tm 2.98
Os 0.2500 0.2500 0.2500 x4  4 Zr 2.98, 4 Tm 2.98